Material: YIr2Cl
Method: DFT, PBE-GGA
State: optimized geometry

```
YIr2Cl
1.0
3.240 0.000 0.000
0.000 4.616 0.000
0.000 0.000 5.122
Cl Ir Y
1 2 1
direct
0.500 0.500 0.750
0.000 0.000 0.999
0.000 0.000 0.501
0.500 0.500 0.250
```

Properties
Raw formation energy in kJ per mole of atoms: 1
Energy above the most stable polymorph in this dataset in eV/atom: 0.563
Raw total energy in eV/atom: -6.498